Compound: Pr3MgPt
Source: Alexandria via LeMat-Bulk
Functional: GGA-PBE
Structure: relaxed

Total energy in eV per atom: -4.850
Density of states at the Fermi level in states/eV/cell: 16.92
Crystal system: monoclinic

a b c (Å): 6.985 9.924 9.870
angles (deg): 120.15 90.00 90.00
Fractional coordinates of all 20 atoms:
Pr (0.500, 0.796, 0.092)
Pr (0.000, 0.296, 0.092)
Pr (0.500, 0.202, 0.287)
Pr (0.500, 0.204, 0.908)
Pr (0.000, 0.298, 0.713)
Pr (0.500, 0.416, 0.714)
Pr (0.000, 0.704, 0.908)
Pr (0.500, 0.584, 0.286)
Pr (0.500, 0.798, 0.713)
Pr (0.000, 0.084, 0.286)
Pr (0.000, 0.916, 0.714)
Pr (0.000, 0.702, 0.287)
Pt (0.751, 0.500, 0.000)
Pt (0.249, 0.500, 0.000)
Pt (0.749, 0.000, 0.000)
Pt (0.251, 0.000, 0.000)
Mg (0.199, 0.500, 0.500)
Mg (0.801, 0.500, 0.500)
Mg (0.301, 0.000, 0.500)
Mg (0.699, 0.000, 0.500)


Compound: SmZn2Ni2Ge
Source: Alexandria via LeMat-Bulk
Functional: GGA-PBE
Structure: relaxed

Total energy in eV per atom: -4.116
Density of states at the Fermi level in states/eV/cell: 5.07
Crystal system: tetragonal

a b c (Å): 4.385 4.385 5.631
angles (deg): 90.00 90.00 90.00
Fractional coordinates of all 6 atoms:
Ge (0.000, 0.000, 0.000)
Ni (0.500, 0.000, 0.000)
Ni (0.000, 0.500, 0.000)
Zn (0.500, 0.500, 0.742)
Zn (0.500, 0.500, 0.258)
Sm (0.000, 0.000, 0.500)


Compound: Ba2Mg2Co
Source: Alexandria via LeMat-Bulk
Functional: GGA-PBE
Structure: relaxed

E above lowest polymorph in eV/f.u.: 0.95
Density of states at the Fermi level in states/eV/cell: 8.14
Crystal system: tetragonal

a b c (Å): 8.292 8.292 5.705
angles (deg): 90.00 90.00 90.00
Last column: magnetic moment on the atom in μB.
Fractional coordinates of all 10 atoms:
Ba (0.829, 0.671, 0.000)  0.08
Ba (0.671, 0.171, 0.000)  0.08
Ba (0.171, 0.329, 0.000)  0.08
Ba (0.329, 0.829, 0.000)  0.08
Mg (0.363, 0.137, 0.500)  0.00
Mg (0.637, 0.863, 0.500)  0.00
Mg (0.137, 0.637, 0.500)  0.00
Mg (0.863, 0.363, 0.500)  0.00
Co (0.500, 0.500, 0.000)  -1.52
Co (0.000, 0.000, 0.000)  -1.52